## Na2LiMoCl6 (PBE-GGA)

Data for a geometry-optimized Na2LiMoCl6 structure.

The structure belongs to space group R3 (No. 146, hexagonal axes); the cell edges are 6.7746, 6.7746 and 17.6621 Å and the angles 90.00°, 90.00° and 120.00°. The distinct sites, in fractional coordinates, are Na at (0.0000, 0.0000, 0.0000), Na at (0.0000, 0.0000, 0.4894), Li at (0.0000, 0.0000, 0.2122), Mo at (0.0000, 0.0000, 0.6952), Cl at (0.0103, 0.3951, 0.4401) and Cl at (0.0612, 0.7066, 0.2776).

The formation energy without anion corrections comes out at -1.40 eV per atom. The calculation puts the total magnetic moment at 3.0 μB per formula unit.